Computed, not measured: an optimized crystal structure of KLa2Ta at the GGA-PBEsol level of DFT.

Lattice parameters (Å, degrees): 3.272 5.987 5.987 102.82 90.00 90.00
Positions (direct):
1 La 0.000 0.000 0.500
2 K 0.500 0.500 0.500
3 La 0.000 0.500 0.000
4 Ta 0.500 0.000 0.000

Computed properties:
ΔE to the lowest computed polymorph, kJ per mole of atoms: 33.2
Symmetry: Cmmm, No. 65
DFT formation energy, eV per atom: 0.9127

---

Computed, not measured: an optimized crystal structure of SrMg2Pb at the GGA-PBEsol level of DFT.

Lattice parameters (Å, degrees): 3.923 3.923 7.687 90.00 90.00 90.00
Positions (direct):
1 Mg 0.000 0.000 0.208
2 Sr 0.500 0.500 0.500
3 Pb 0.500 0.500 0.000
4 Mg 0.000 0.000 0.792

Computed properties:
Symmetry: P4/mmm, No. 123
DFT formation energy, eV per atom: -0.1145

---

Computed, not measured: an optimized crystal structure of HfAsPt3 at the GGA-PBEsol level of DFT.

Lattice parameters (Å, degrees): 4.590 4.590 4.590 90.00 90.00 90.00
Positions (direct):
1 As 0.000 0.000 0.000
2 Pt 0.000 0.500 0.000
3 Pt 0.000 0.000 0.500
4 Pt 0.500 0.000 0.000
5 Hf 0.500 0.500 0.500

Computed properties:
Symmetry: Pm-3m, No. 221
DFT formation energy, eV per atom: 0.2291

---

Computed, not measured: an optimized crystal structure of CaNiH2 at the GGA-PBEsol level of DFT.

Lattice parameters (Å, degrees): 3.899 3.899 3.899 60.00 60.00 60.00
Each line ends with the local moment (μB).
Positions (direct):
1 H 0.750 0.750 0.750  0.02
2 H 0.250 0.250 0.250  0.02
3 Ca 0.000 0.000 0.000  -0.01
4 Ni 0.500 0.500 0.500  0.35

Computed properties:
Symmetry: Fm-3m, No. 225
Total DFT energy (no corrections), eV/atom: -3.559

---

Computed, not measured: an optimized crystal structure of La2Sc at the GGA-PBEsol level of DFT.

Lattice parameters (Å, degrees): 3.474 3.474 17.304 90.00 90.00 120.00
Positions (direct):
1 La 0.333 0.667 0.088
2 La 0.667 0.333 0.270
3 La 0.333 0.667 0.730
4 Sc 0.333 0.667 0.429
5 La 0.667 0.333 0.912
6 Sc 0.667 0.333 0.571

Computed properties:
ΔE to the lowest computed polymorph, kJ per mole of atoms: 2.5
Symmetry: P-3m1, No. 164
DFT formation energy, eV per atom: 0.0679

---

Computed, not measured: an optimized crystal structure of Tm2AlSi2 at the GGA-PBEsol level of DFT.

Lattice parameters (Å, degrees): 4.023 5.459 5.459 61.47 68.38 68.38
Positions (direct):
1 Tm 0.210 0.290 0.290
2 Si 0.500 0.289 0.711
3 Tm 0.790 0.710 0.710
4 Al 0.000 0.000 0.000
5 Si 0.500 0.711 0.289

Computed properties:
Symmetry: Immm, No. 71
Total DFT energy (no corrections), eV/atom: -5.843

---

Computed, not measured: an optimized crystal structure of La2YNbP at the GGA-PBEsol level of DFT.

Lattice parameters (Å, degrees): 5.248 5.360 5.360 90.00 90.00 90.00
Positions (direct):
1 Y 0.500 0.000 0.000
2 La 0.000 0.500 0.000
3 Nb 0.000 0.000 0.000
4 La 0.000 0.000 0.500
5 P 0.500 0.500 0.500

Computed properties:
Symmetry: P4/mmm, No. 123
DFT formation energy, eV per atom: 0.4002

---

Computed, not measured: an optimized crystal structure of TcIrOF2 at the GGA-PBEsol level of DFT.

Lattice parameters (Å, degrees): 3.681 4.147 4.147 90.00 90.00 90.00
Each line ends with the local moment (μB).
Positions (direct):
1 Tc 0.000 0.000 0.000  0.49
2 O 0.500 0.000 0.000  0.03
3 F 0.000 0.500 0.000  0.05
4 Ir 0.500 0.500 0.500  1.75
5 F 0.000 0.000 0.500  0.05

Computed properties:
Symmetry: P4/mmm, No. 123
Total DFT energy (no corrections), eV/atom: -5.985

---

Computed, not measured: an optimized crystal structure of Be2IrRu at the GGA-PBEsol level of DFT.

Lattice parameters (Å, degrees): 3.258 3.258 4.764 109.99 109.99 90.00
Positions (direct):
1 Ru 0.250 0.750 0.500
2 Ir 0.500 0.500 0.000
3 Be 0.750 0.250 0.500
4 Be 0.000 0.000 0.000

Computed properties:
Symmetry: I-4m2, No. 119
DFT formation energy, eV per atom: -0.1126

---

Computed, not measured: an optimized crystal structure of YOsI2O at the GGA-PBEsol level of DFT.

Lattice parameters (Å, degrees): 4.046 5.976 5.976 90.00 90.00 90.00
Each line ends with the local moment (μB).
Positions (direct):
1 I 0.000 0.500 0.000  0.09
2 O 0.500 0.000 0.000  0.08
3 Y 0.000 0.000 0.000  0.03
4 I 0.000 0.000 0.500  0.09
5 Os 0.500 0.500 0.500  3.16

Computed properties:
Symmetry: P4/mmm, No. 123
Total DFT energy (no corrections), eV/atom: -5.364

---

Computed, not measured: an optimized crystal structure of SiAgF2 at the GGA-PBEsol level of DFT.

Lattice parameters (Å, degrees): 4.207 4.207 4.207 60.00 60.00 60.00
Positions (direct):
1 Si 0.000 0.000 0.000
2 Ag 0.500 0.500 0.500
3 F 0.250 0.250 0.250
4 F 0.750 0.750 0.750

Computed properties:
ΔE to the lowest computed polymorph, kJ per mole of atoms: 72.4
Symmetry: Fm-3m, No. 225

---

Computed, not measured: an optimized crystal structure of Rb2BiAs2 at the GGA-PBEsol level of DFT.

Lattice parameters (Å, degrees): 5.492 7.550 7.550 90.00 90.00 90.00
Positions (direct):
1 As 0.000 0.114 0.386
2 As 0.000 0.386 0.886
3 As 0.000 0.614 0.114
4 As 0.000 0.886 0.614
5 Rb 0.500 0.820 0.320
6 Bi 0.000 0.500 0.500
7 Rb 0.500 0.320 0.180
8 Bi 0.000 0.000 0.000
9 Rb 0.500 0.680 0.820
10 Rb 0.500 0.180 0.680

Computed properties:
Symmetry: P4/mbm, No. 127
DFT formation energy, eV per atom: -0.3035

---

Computed, not measured: an optimized crystal structure of Ga3B4Pt9 at the GGA-PBEsol level of DFT.

Lattice parameters (Å, degrees): 6.487 8.688 8.688 120.00 90.00 90.00
Positions (direct):
1 Pt 0.479 0.459 0.272
2 Pt 0.250 0.815 0.822
3 Pt 0.021 0.459 0.272
4 Ga 0.250 0.441 0.950
5 Pt 0.021 0.814 0.541
6 Pt 0.521 0.272 0.459
7 Pt 0.979 0.186 0.728
8 Pt 0.979 0.272 0.459
9 B 0.000 0.000 0.822
10 Pt 0.250 0.178 0.993
11 B 0.500 0.822 0.000
12 B 0.500 0.178 0.178
13 Pt 0.750 0.822 0.815
14 B 0.000 0.178 0.178
15 B 0.000 0.822 0.000
16 Pt 0.750 0.993 0.178
17 Ga 0.750 0.491 0.050
18 Ga 0.250 0.050 0.491
19 Pt 0.979 0.541 0.814
20 Ga 0.750 0.950 0.441
21 Pt 0.521 0.541 0.814
22 B 0.500 0.000 0.822
23 Pt 0.250 0.007 0.185
24 Pt 0.479 0.728 0.186
25 Pt 0.021 0.728 0.186
26 Ga 0.250 0.509 0.559
27 Pt 0.521 0.186 0.728
28 Pt 0.479 0.814 0.541
29 Ga 0.750 0.559 0.509
30 B 0.750 0.333 0.667
31 Pt 0.750 0.185 0.007
32 B 0.250 0.667 0.333

Computed properties:
Symmetry: P-62c, No. 190
DFT formation energy, eV per atom: -0.4319

---

Computed, not measured: an optimized crystal structure of ZrInAs at the GGA-PBEsol level of DFT.

Lattice parameters (Å, degrees): 2.876 4.939 4.939 120.00 90.00 90.00
Positions (direct):
1 Zr 0.333 0.667 0.333
2 In 0.834 0.333 0.667
3 As 0.833 0.000 0.000

Computed properties:
Symmetry: P-6m2, No. 187
DFT formation energy, eV per atom: -0.1620

---

Computed, not measured: an optimized crystal structure of HfZr3H at the GGA-PBEsol level of DFT.

Lattice parameters (Å, degrees): 4.472 4.472 4.472 90.00 90.00 90.00
Positions (direct):
1 Zr 0.500 0.000 0.000
2 H 0.000 0.000 0.000
3 Hf 0.500 0.500 0.500
4 Zr 0.000 0.000 0.500
5 Zr 0.000 0.500 0.000

Computed properties:
ΔE to the lowest computed polymorph, kJ per mole of atoms: 0.0
Symmetry: Pm-3m, No. 221

---

Computed, not measured: an optimized crystal structure of Zr2CuMo at the GGA-PBEsol level of DFT.

Lattice parameters (Å, degrees): 2.795 2.795 8.883 90.00 90.00 89.29
Positions (direct):
1 Zr 0.000 0.000 0.020
2 Mo 0.500 0.500 0.285
3 Cu 0.000 0.000 0.484
4 Zr 0.500 0.500 0.712

Computed properties:
ΔE to the lowest computed polymorph, kJ per mole of atoms: 23.6
Symmetry: Cmm2, No. 35
DFT formation energy, eV per atom: 0.1767

---

Computed, not measured: an optimized crystal structure of HgPt2Rh at the GGA-PBEsol level of DFT.

Lattice parameters (Å, degrees): 2.808 2.808 7.984 90.00 90.00 90.00
Each line ends with the local moment (μB).
Positions (direct):
1 Pt 0.000 0.000 0.231  0.16
2 Pt 0.000 0.000 0.769  0.16
3 Rh 0.500 0.500 0.000  0.53
4 Hg 0.500 0.500 0.500  -0.01

Computed properties:
Symmetry: P4/mmm, No. 123
DFT formation energy, eV per atom: 0.0551

---

Computed, not measured: an optimized crystal structure of ZnTc5 at the GGA-PBEsol level of DFT.

Lattice parameters (Å, degrees): 2.742 4.327 7.112 90.00 101.12 90.00
Positions (direct):
1 Zn 0.888 0.500 0.776
2 Tc 0.223 0.500 0.445
3 Tc 0.334 0.000 0.667
4 Tc 0.558 0.500 0.116
5 Tc 0.665 0.000 0.330
6 Tc 0.999 0.000 0.998

Computed properties:
ΔE to the lowest computed polymorph, kJ per mole of atoms: 0.6
Symmetry: Amm2, No. 38
DFT formation energy, eV per atom: 0.0263

---

Computed, not measured: an optimized crystal structure of Li2TaPb at the GGA-PBEsol level of DFT.

Lattice parameters (Å, degrees): 3.096 4.593 5.546 114.46 106.21 90.00
Positions (direct):
1 Ta 0.256 0.756 0.511
2 Pb 0.481 0.481 0.962
3 Li 0.020 0.020 0.039
4 Li 0.744 0.244 0.487

Computed properties:
Symmetry: Imm2, No. 44
DFT formation energy, eV per atom: 0.3805

---

Computed, not measured: an optimized crystal structure of CaCuSiH2O5 at the GGA-PBEsol level of DFT.

Lattice parameters (Å, degrees): 4.997 5.339 15.971 90.00 90.00 102.50
Each line ends with the local moment (μB).
Positions (direct):
1 O 0.842 0.170 0.414  0.08
2 O 0.901 0.530 0.293  0.02
3 O 0.354 0.132 0.291  0.00
4 H 0.350 0.271 0.333  0.00
5 O 0.683 0.472 0.605  0.08
6 Cu 0.500 0.000 0.000  0.62
7 Si 0.020 0.032 0.888  0.01
8 H 0.167 0.092 0.260  0.00
9 Ca 0.646 0.346 0.177  0.00
10 O 0.901 0.030 0.207  0.02
11 O 0.156 0.830 0.946  0.16
12 O 0.158 0.830 0.586  0.08
13 O 0.646 0.868 0.709  0.00
14 Ca 0.354 0.154 0.677  0.00
15 Cu 0.500 0.500 0.500  0.62
16 O 0.844 0.170 0.054  0.16
17 Cu 0.000 0.000 0.500  0.62
18 Si 0.020 0.532 0.612  0.01
19 O 0.156 0.330 0.554  0.16
20 Ca 0.354 0.654 0.823  0.00
21 H 0.650 0.729 0.667  0.00
22 H 0.650 0.229 0.833  0.00
23 H 0.833 0.908 0.740  0.00
24 O 0.158 0.330 0.914  0.08
25 O 0.844 0.670 0.446  0.16
26 H 0.167 0.592 0.240  0.00
27 H 0.350 0.771 0.167  0.00
28 Ca 0.646 0.846 0.323  0.00
29 H 0.833 0.408 0.760  0.00
30 Si 0.980 0.968 0.112  0.01
31 O 0.317 0.028 0.105  0.08
32 Cu 0.000 0.500 0.000  0.62
33 O 0.099 0.470 0.707  0.02
34 O 0.354 0.632 0.209  0.00
35 O 0.317 0.528 0.395  0.08
36 O 0.842 0.670 0.086  0.08
37 O 0.646 0.368 0.791  0.00
38 O 0.683 0.972 0.895  0.08
39 O 0.099 0.970 0.793  0.02
40 Si 0.980 0.468 0.388  0.01

Computed properties:
Symmetry: P2_1/c, No. 14
Total DFT energy (no corrections), eV/atom: -6.453

---

Computed, not measured: an optimized crystal structure of Mg3Pb5 at the GGA-PBEsol level of DFT.

Lattice parameters (Å, degrees): 6.182 8.916 8.916 83.10 69.71 69.71
Positions (direct):
1 Mg 0.177 0.147 0.500
2 Mg 0.750 0.000 0.000
3 Pb 0.933 0.295 0.838
4 Pb 0.772 0.162 0.295
5 Mg 0.677 0.500 0.147
6 Pb 0.272 0.295 0.162
7 Mg 0.323 0.500 0.853
8 Mg 0.823 0.853 0.500
9 Pb 0.750 0.500 0.500
10 Pb 0.728 0.705 0.838
11 Pb 0.567 0.162 0.705
12 Pb 0.433 0.838 0.295
13 Pb 0.250 0.500 0.500
14 Mg 0.250 0.000 0.000
15 Pb 0.228 0.838 0.705
16 Pb 0.067 0.705 0.162

Computed properties:
ΔE to the lowest computed polymorph, kJ per mole of atoms: 3.9
Symmetry: I4/mcm, No. 140
DFT formation energy, eV per atom: -0.0060